Density functional theory data (GGA-PBE) for crystalline SiWSN2 at its relaxed geometry.

Calculated values
D(E_F) ... 2.85 states/eV/f.u.
Offset from the most stable computed form ... 0.431 eV per atom
E_form (uncorrected) ... 0.913 eV/atom

```
5
Lattice="-0.577 -2.718 -2.195 -2.161 -1.470 2.389 -3.588 2.260 -1.855" Properties=species:S:1:pos:R:3 pbc="T T T"
Si 0.000 0.000 0.000
S -1.794 1.130 -0.927
N -0.289 -1.359 -1.098
N -1.081 -0.735 1.195
W -3.163 -0.964 -0.830
```

---

Density functional theory data (GGA-PBE) for crystalline SrCd5Ag2 at its relaxed geometry.

Calculated values
D(E_F) ... 3.17 states/eV/f.u.
Energy relative to the elements ... -171 meV/atom

```
8
Lattice="-0.439 2.319 -3.774 -6.668 2.410 -0.369 0.156 6.914 1.605" Properties=species:S:1:pos:R:3 pbc="T T T"
Ag -5.306 8.839 -1.827
Ag -1.645 2.804 -0.711
Cd -3.111 7.699 -0.157
Cd -3.839 3.943 -2.381
Sr 0.000 0.000 0.000
Cd -3.256 4.662 0.618
Cd -5.646 6.027 -0.890
Cd -1.305 5.616 -1.647
```

---

Density functional theory data (GGA-PBE) for crystalline KLaY2 at its relaxed geometry.

Calculated values
D(E_F) ... 6.24 states/eV/f.u.
Offset from the most stable computed form ... 0.252 eV per atom
Energy relative to the elements ... 440 meV/atom

```
4
Lattice="-1.480 1.466 -3.196 0.042 -5.693 -2.631 -5.771 -1.054 2.189" Properties=species:S:1:pos:R:3 pbc="T T T"
Y -0.719 -2.113 -2.913
La -2.865 -3.373 -0.221
Y 0.000 0.000 0.000
K -3.625 0.206 -0.504
```

---

One value per record, in order, for magnetization: 0.35 0.00 0.00 μB/f.u..
One value per record, in order, for electronic total energy: -6.918 -1.666 -4.299 eV/atom.